1.
First-principles (PBE) data for an optimized crystal structure of Cs2RbP2O6, as listed in Alexandria.

```
Cs2RbP2O6
1.0
6.445 0.000 0.000
-3.223 5.736 -0.343
0.000 -3.715 6.612
Cs Rb P O
2 1 2 6
Direct
0.715 0.430 0.193
0.285 0.570 0.807
0.500 0.000 0.500
0.959 0.917 0.813
0.041 0.083 0.187
0.802 0.604 0.708
0.178 0.953 0.202
0.224 0.047 0.798
0.822 0.047 0.798
0.776 0.953 0.202
0.198 0.396 0.292
```

Results
Total DFT energy (no corrections) in eV per atom: -6.01

---

2.
First-principles (PBE) data for an optimized crystal structure of Pr2Ho3TmSb6, as listed in Alexandria.

```
Pr2Ho3TmSb6
1.0
-4.014 -1.423 1.223
-0.820 -4.299 -7.695
6.091 -5.850 5.161
Pr Ho Tm Sb
2 3 1 6
Direct
0.835 0.668 0.669
0.165 0.332 0.331
0.500 0.500 0.000
0.831 0.166 0.663
0.169 0.834 0.337
0.500 0.000 0.000
0.335 0.926 0.670
0.664 0.590 0.328
0.665 0.074 0.330
0.996 0.246 0.992
0.004 0.754 0.008
0.336 0.410 0.672
```

Results
Total DFT energy (no corrections) in eV per atom: -5.50

---

3.
First-principles (PBE) data for an optimized crystal structure of ReP2RuS, as listed in Alexandria.

```
ReP2RuS
1.0
4.450 0.000 0.000
0.000 4.450 0.000
0.000 0.000 4.536
Re S P Ru
1 1 2 1
Direct
0.500 0.500 0.500
0.000 0.000 0.500
0.000 0.500 0.000
0.500 0.000 0.000
0.000 0.000 0.000
```

Results
Polymorph energy (0 for the lowest one) in eV/atom: 0.266
Total DFT energy (no corrections) in eV per atom: -5.95

---

4.
First-principles (PBE) data for an optimized crystal structure of TbTm7Tl3, as listed in Alexandria.

```
TbTm7Tl3
1.0
-4.908 4.412 -4.207
-3.642 -5.803 -1.837
-1.778 3.599 5.848
Tb Tm Tl
1 7 3
Direct
0.455 0.333 0.667
0.103 0.170 0.830
0.103 0.170 0.340
0.111 0.667 0.333
0.462 0.830 0.170
0.462 0.340 0.170
0.462 0.830 0.660
0.103 0.660 0.830
0.784 0.501 0.499
0.784 0.501 0.002
0.784 0.998 0.499
```

Results
Total DFT energy (no corrections) in eV per atom: -3.96